A relaxed structure of La2AlS, computed with PBE-GGA.

abc: 6.656 6.656 13.903
angles: 90.00 90.00 90.00
Fractional positions:
La  0.216  0.250  0.125
La  0.250  0.716  0.375
La  0.250  0.784  0.875
La  0.284  0.250  0.625
La  0.716  0.750  0.625
La  0.750  0.216  0.875
La  0.750  0.284  0.375
La  0.784  0.750  0.125
Al  0.000  0.000  0.500
Al  0.000  0.500  0.750
Al  0.500  0.000  0.250
Al  0.500  0.500  0.000
S  0.000  0.000  0.000
S  0.000  0.500  0.250
S  0.500  0.000  0.750
S  0.500  0.500  0.500

Computed properties:
Uncorrected formation energy in eV/atom: -0.571
Magnetic moment in μB/cell: 0.00
Offset from the most stable computed form in eV/atom: 0.143